{"formula": "SrVNiSe2", "functional": "PBE-GGA", "state": "relaxed", "space_group": "P4/mmm, No. 123", "dft_energy_ev_per_fu": -24.89, "magnetic_moment_mub_per_cell": 3.4, "lattice_angstrom": [[5.0321, 0.0000, 0.0000], [0.0000, 4.4362, 0.0000], [0.0000, 0.0000, 5.0321]], "species": ["Sr", "Se", "V", "Se", "Ni"], "fractional_positions": [[0.5000, 0.5000, 0.5000], [0.0000, 0.0000, 0.5000], [0.0000, 0.5000, 0.0000], [0.5000, 0.0000, 0.0000], [0.0000, 0.0000, 0.0000]]}

***

{"formula": "TaNi2Se", "functional": "PBE-GGA", "state": "relaxed", "space_group": "I4/mmm, No. 139", "dft_energy_ev_per_fu": -26.49, "magnetic_moment_mub_per_cell": 0.0, "lattice_angstrom": [[-1.9391, -1.9025, -3.9993], [-4.4368, -1.8082, 0.6475], [2.1435, 4.2002, 1.0669]], "species": ["Ta", "Se", "Ni", "Ni"], "fractional_positions": [[0.7500, 0.2500, 0.5000], [0.2500, 0.7500, 0.5000], [0.0000, 0.0000, 0.0000], [0.5000, 0.5000, 0.0000]]}

***

{"formula": "Ta2Ni3Se8", "functional": "PBE-GGA", "state": "relaxed", "space_group": "Pbam, No. 55", "dft_energy_ev_per_fu": -76.69, "magnetic_moment_mub_per_cell": 0.0, "lattice_angstrom": [[-1.0650, -3.2373, 0.7594], [1.7919, -3.0090, -10.3142], [14.1505, -3.8172, 3.5720]], "species": ["Se", "Se", "Ni", "Se", "Se", "Ni", "Se", "Se", "Se", "Ta", "Ta", "Se", "Se", "Se", "Ta", "Se", "Ni", "Se", "Ni", "Ni", "Se", "Ni", "Se", "Se", "Se", "Ta"], "fractional_positions": [[0.0000, 0.2142, 0.0000], [0.0000, 0.0094, 0.1558], [0.0000, 0.8432, 0.2703], [0.0000, 0.2858, 0.5000], [0.5000, 0.2768, 0.7929], [0.0000, 0.0000, 0.0000], [0.0000, 0.5094, 0.3442], [0.5000, 0.7768, 0.7071], [0.5000, 0.9196, 0.3615], [0.5000, 0.3153, 0.6263], [0.5000, 0.6847, 0.3737], [0.5000, 0.0804, 0.6385], [0.0000, 0.7142, 0.5000], [0.0000, 0.9906, 0.8442], [0.5000, 0.8153, 0.8737], [0.5000, 0.5804, 0.8615], [0.0000, 0.6568, 0.7703], [0.0000, 0.4906, 0.6558], [0.0000, 0.1568, 0.7297], [0.0000, 0.3432, 0.2297], [0.0000, 0.7858, 0.0000], [0.0000, 0.5000, 0.5000], [0.5000, 0.4196, 0.1385], [0.5000, 0.2232, 0.2929], [0.5000, 0.7232, 0.2071], [0.5000, 0.1847, 0.1263]]}

***

{"formula": "TaNi2Se", "functional": "PBE-GGA", "state": "relaxed", "space_group": "Pmmm, No. 47", "dft_energy_ev_per_fu": -26.90, "magnetic_moment_mub_per_cell": 0.0, "lattice_angstrom": [[3.1585, 0.0000, 0.0000], [0.0000, 4.2478, 0.0000], [0.0000, 0.0000, 4.1867]], "species": ["Ta", "Se", "Ni", "Ni"], "fractional_positions": [[0.0000, 0.5000, 0.5000], [0.5000, 0.0000, 0.5000], [0.0000, 0.0000, 0.0000], [0.5000, 0.5000, 0.0000]]}

***

{"formula": "TaNiSe", "functional": "PBE-GGA", "state": "relaxed", "space_group": "F-43m, No. 216", "de_polymorph_ev_per_atom": 0.516, "dft_energy_ev_per_fu": -20.37, "magnetic_moment_mub_per_cell": 0.0, "lattice_angstrom": [[-2.2783, -3.2654, -1.1316], [0.5544, -3.6555, 1.8613], [-2.9012, -1.4840, 2.5525]], "species": ["Ta", "Se", "Ni"], "fractional_positions": [[0.0000, 0.0000, 0.0000], [0.7500, 0.7500, 0.7500], [0.5000, 0.5000, 0.5000]]}

***

{"formula": "TaNiSe2", "functional": "PBE-GGA", "state": "relaxed", "space_group": "P4/mmm, No. 123", "dft_energy_ev_per_fu": -25.21, "magnetic_moment_mub_per_cell": 0.0, "lattice_angstrom": [[-2.6348, -1.0676, 1.5121], [-0.4304, -2.2049, -2.3068], [3.4747, -4.0334, 3.2069]], "species": ["Ta", "Ni", "Se", "Se"], "fractional_positions": [[0.5000, 0.5000, 0.2500], [0.5000, 0.5000, 0.7500], [0.0000, 0.0000, 0.0029], [0.0000, 0.0000, 0.4971]]}

***

{"formula": "TaNiSe4", "functional": "PBE-GGA", "state": "relaxed", "space_group": "F-43m, No. 216", "dft_energy_ev_per_fu": -24.79, "magnetic_moment_mub_per_cell": 0.0, "lattice_angstrom": [[0.0000, 3.8548, 3.8548], [3.8548, 0.0000, 3.8548], [3.8548, 3.8548, 0.0000]], "species": ["Se", "Se", "Se", "Ta", "Se", "Ni"], "fractional_positions": [[0.3750, 0.8748, 0.3750], [0.8748, 0.3750, 0.3750], [0.3750, 0.3750, 0.8748], [0.7500, 0.7500, 0.7500], [0.3750, 0.3750, 0.3750], [0.0000, 0.0000, 0.0000]]}

***

{"formula": "Ta2NiSe", "functional": "PBE-GGA", "state": "relaxed", "space_group": "F-43m, No. 216", "dft_energy_ev_per_fu": -30.97, "magnetic_moment_mub_per_cell": 0.0, "lattice_angstrom": [[-1.1776, -3.9941, -1.8217], [2.7074, -3.6155, 0.5068], [-1.2762, -3.4358, 2.6879]], "species": ["Se", "Ni", "Ta", "Ta"], "fractional_positions": [[0.7500, 0.7500, 0.7500], [0.5000, 0.5000, 0.5000], [0.0000, 0.0000, 0.0000], [0.2500, 0.2500, 0.2500]]}

***

{"formula": "Ta2NiSe", "functional": "PBE-GGA", "state": "relaxed", "space_group": "R-3m, No. 166", "dft_energy_ev_per_fu": -32.47, "magnetic_moment_mub_per_cell": 0.0, "lattice_angstrom": [[-1.2779, -5.2464, 6.2455], [1.7986, -5.2067, 6.1497], [0.2780, -3.0123, 7.6820]], "species": ["Ni", "Ta", "Se", "Ta"], "fractional_positions": [[0.2500, 0.2500, 0.2500], [0.5014, 0.5014, 0.5014], [0.7500, 0.7500, 0.7500], [0.9986, 0.9986, 0.9986]]}

***

{"formula": "Ta2NiSe", "functional": "PBE-GGA", "state": "relaxed", "space_group": "I-4m2, No. 119", "dft_energy_ev_per_fu": -32.31, "magnetic_moment_mub_per_cell": 0.0, "lattice_angstrom": [[5.2119, -0.0010, 0.0000], [2.4656, 4.5918, 0.0000], [-3.8387, -2.2954, 2.6756]], "species": ["Se", "Ta", "Ni", "Ta"], "fractional_positions": [[0.7500, 0.2500, 0.5000], [0.2500, 0.7500, 0.5000], [0.5000, 0.5000, 0.0000], [0.0000, 0.0000, 0.0000]]}

***

{"formula": "TaNiSe2", "functional": "PBE-GGA", "state": "relaxed", "space_group": "R-3m, No. 166", "dft_energy_ev_per_fu": -25.60, "magnetic_moment_mub_per_cell": 0.3, "lattice_angstrom": [[1.9429, 0.0000, 8.0112], [-0.9714, 1.6826, 8.0112], [-0.9714, -1.6826, 8.0112]], "species": ["Se", "Ta", "Ni", "Se"], "fractional_positions": [[0.0945, 0.0945, 0.0945], [0.5000, 0.5000, 0.5000], [0.0000, 0.0000, 0.0000], [0.9055, 0.9055, 0.9055]]}

***

{"formula": "TaNi2Se", "functional": "PBE-GGA", "state": "relaxed", "space_group": "Cmmm, No. 65", "dft_energy_ev_per_fu": -26.69, "magnetic_moment_mub_per_cell": 0.0, "lattice_angstrom": [[-3.1374, 4.5658, -2.4710], [-2.0598, -3.4354, 1.4540], [-2.0618, 1.9720, 1.7434]], "species": ["Ni", "Ni", "Ta", "Se"], "fractional_positions": [[0.5000, 0.0000, 0.5000], [0.0000, 0.0000, 0.0000], [0.5000, 0.5000, 0.0000], [0.0000, 0.5000, 0.5000]]}

***

{"formula": "Ta2NiSe", "functional": "PBE-GGA", "state": "relaxed", "space_group": "Pmmm, No. 47", "dft_energy_ev_per_fu": -32.97, "magnetic_moment_mub_per_cell": 0.0, "lattice_angstrom": [[-2.9544, 0.7464, -0.1007], [-0.8196, -3.0143, 1.7022], [0.5244, 2.7716, 5.1605]], "species": ["Ta", "Ni", "Se", "Ta"], "fractional_positions": [[0.0000, 0.0000, 0.4833], [0.5000, 0.5000, 0.2500], [0.5000, 0.5000, 0.7500], [0.0000, 0.0000, 0.0167]]}

***

{"formula": "TaNiSe2", "functional": "PBE-GGA", "state": "relaxed", "space_group": "R3m, No. 160", "dft_energy_ev_per_fu": -26.34, "magnetic_moment_mub_per_cell": 0.0, "lattice_angstrom": [[-2.6482, 6.1998, -2.9259], [-3.8904, 3.4790, -5.1743], [-5.6804, 4.2247, -1.9741]], "species": ["Ni", "Se", "Se", "Ta"], "fractional_positions": [[0.7516, 0.7516, 0.7516], [0.2214, 0.2214, 0.2214], [0.0479, 0.0479, 0.0479], [0.4792, 0.4792, 0.4792]]}

***

{"formula": "TaNiSe4", "functional": "PBE-GGA", "state": "relaxed", "space_group": "C2/m, No. 12", "dft_energy_ev_per_fu": -33.43, "magnetic_moment_mub_per_cell": 0.0, "lattice_angstrom": [[-0.4344, 5.0255, 0.3491], [-4.3571, -3.3282, 5.8731], [7.4080, 0.4230, 3.1287]], "species": ["Se", "Se", "Ta", "Ta", "Se", "Se", "Se", "Ni", "Ni", "Se", "Se", "Se"], "fractional_positions": [[0.9357, 0.8715, 0.6209], [0.3759, 0.7518, 0.3005], [0.7941, 0.5883, 0.7262], [0.2059, 0.4117, 0.2738], [0.7457, 0.4915, 0.3528], [0.8752, 0.7503, 0.0134], [0.6241, 0.2482, 0.6995], [0.8990, 0.7981, 0.3191], [0.1010, 0.2019, 0.6809], [0.1248, 0.2497, 0.9866], [0.0643, 0.1285, 0.3791], [0.2543, 0.5085, 0.6472]]}

***

{"formula": "TaNi2Se", "functional": "PBE-GGA", "state": "relaxed", "space_group": "Imm2, No. 44", "dft_energy_ev_per_fu": -26.86, "magnetic_moment_mub_per_cell": 0.0, "lattice_angstrom": [[4.2157, -0.8840, -0.1402], [0.7577, 4.2402, 0.1402], [-2.2274, -2.0624, 3.0592]], "species": ["Se", "Ta", "Ni", "Ni"], "fractional_positions": [[0.5442, 0.5442, 0.0000], [0.2407, 0.7407, 0.5000], [0.7253, 0.2253, 0.5000], [0.9899, 0.9899, 0.0000]]}

***

{"formula": "Ta2NiSe", "functional": "PBE-GGA", "state": "relaxed", "space_group": "Imm2, No. 44", "dft_energy_ev_per_fu": -33.13, "magnetic_moment_mub_per_cell": 0.0, "lattice_angstrom": [[5.2156, -0.0093, -0.0038], [2.3009, 4.6806, 0.0038], [-3.2316, -3.1830, 2.5743]], "species": ["Ta", "Se", "Ni", "Ta"], "fractional_positions": [[0.7341, 0.2341, 0.5000], [0.2662, 0.7662, 0.5000], [0.4808, 0.4808, 0.0000], [0.0190, 0.0190, 0.0000]]}

***

{"formula": "TaNiSe2", "functional": "PBE-GGA", "state": "relaxed", "space_group": "I-42d, No. 122", "dft_energy_ev_per_fu": -25.00, "magnetic_moment_mub_per_cell": 0.8, "lattice_angstrom": [[5.7000, 0.0000, 0.0000], [0.0000, 5.7000, 0.0000], [2.8500, 2.8500, 5.3179]], "species": ["Ta", "Se", "Ni", "Se", "Ni", "Se", "Se", "Ta"], "fractional_positions": [[0.0000, 0.0000, 0.0000], [0.1502, 0.6250, 0.2500], [0.2500, 0.7500, 0.5000], [0.8750, 0.8498, 0.7500], [0.5000, 0.5000, 0.0000], [0.3750, 0.4002, 0.7500], [0.5998, 0.1250, 0.2500], [0.7500, 0.2500, 0.5000]]}

***

{"formula": "Ta2NiSe", "functional": "PBE-GGA", "state": "relaxed", "space_group": "R3m, No. 160", "dft_energy_ev_per_fu": -33.22, "magnetic_moment_mub_per_cell": 0.0, "lattice_angstrom": [[-4.5875, 5.2406, -4.5299], [-5.5712, 2.4183, -5.6694], [-6.8634, 3.6007, -2.9928]], "species": ["Ta", "Ta", "Se", "Ni"], "fractional_positions": [[0.0034, 0.0034, 0.0034], [0.2446, 0.2446, 0.2446], [0.7453, 0.7453, 0.7453], [0.5066, 0.5066, 0.5066]]}

***

{"formula": "Ta2NiSe7", "functional": "PBE-GGA", "state": "relaxed", "space_group": "C2/m, No. 12", "dft_energy_ev_per_fu": -59.96, "magnetic_moment_mub_per_cell": 0.0, "lattice_angstrom": [[3.5056, 0.0000, 0.0000], [1.7528, 7.6618, -0.0259], [1.7528, 1.9667, 17.8370]], "species": ["Ta", "Ta", "Se", "Se", "Se", "Se", "Se", "Se", "Se", "Se", "Ta", "Ni", "Se", "Se", "Se", "Se", "Ni", "Ta", "Se", "Se"], "fractional_positions": [[0.2355, 0.6203, 0.9086], [0.8382, 0.9243, 0.3992], [0.8431, 0.4873, 0.8266], [0.1025, 0.9372, 0.8578], [0.1569, 0.5127, 0.1734], [0.2024, 0.1490, 0.4462], [0.7976, 0.8510, 0.5538], [0.8975, 0.0628, 0.1422], [0.5409, 0.3351, 0.5831], [0.7364, 0.2260, 0.3011], [0.1618, 0.0757, 0.6008], [0.2988, 0.1915, 0.2110], [0.6456, 0.6995, 0.0093], [0.4156, 0.8739, 0.2950], [0.5844, 0.1261, 0.7050], [0.2636, 0.7740, 0.6989], [0.7012, 0.8085, 0.7890], [0.7645, 0.3797, 0.0914], [0.3544, 0.3005, 0.9907], [0.4591, 0.6649, 0.4169]]}

***

Values for energy relative to the elements, uncorrected, kJ/mol of formula units, ordered as above
-129, 39, -749, 0, 72, -58, 654, 193, 49, 64, -96, 20, 0, -168, -179, 4, -15, -38, -24, -587